VASP calculation (PBE) on a geometry-optimized InP2Br structure.

## Properties
Space-group type   F-43m, No. 216
M_tot   0.00 μB per atom
Uncorrected energy   -3.192 eV/atom
Calculated volume   20.61 Å³/atom
ΔE_f (raw)   616 meV/atom
Relative energy among the computed polymorphs   2.90 eV per formula unit
D(E_F)   3.2 states/eV per cell

Cell: 4.885 4.885 4.885 Å, 60.00 60.00 60.00°
Fractional coordinates of all 4 atoms:
Br 0.500 0.500 0.500
P 0.250 0.250 0.250
P 0.000 0.000 0.000
In 0.750 0.750 0.750